1.
The following is a DFT calculation (PBE) of crystalline InFeSi2 at its relaxed geometry.

a = 2.9155 Å, b = 2.9155 Å, c = 7.3966 Å
α = 90.00°, β = 90.00°, γ = 90.00°
Positions (direct):
Fe 0.0000 0.0000 0.4343
Si 0.0000 0.0000 0.0718
Si 0.5000 0.5000 0.2897
In 0.5000 0.5000 0.7043

Total DFT energy (no corrections) = -5.33 eV/atom
Raw formation energy = 177 meV/atom


2.
The following is a DFT calculation (PBE) of crystalline TmZrTcHg at its relaxed geometry.

a = 4.8925 Å, b = 4.8925 Å, c = 4.8925 Å
α = 60.00°, β = 60.00°, γ = 60.00°
Positions (direct):
Tm 0.7500 0.7500 0.7500
Zr 0.2500 0.2500 0.2500
Hg 0.0000 0.0000 0.0000
Tc 0.5000 0.5000 0.5000

Total DFT energy (no corrections) = -6.09 eV/atom


3.
The following is a DFT calculation (PBE) of crystalline Sc2CdBi2 at its relaxed geometry.

a = 8.0801 Å, b = 8.0801 Å, c = 4.0005 Å
α = 90.00°, β = 90.00°, γ = 90.00°
Positions (direct):
Cd 0.0000 0.0000 0.0000
Sc 0.6437 0.1437 0.0000
Bi 0.1609 0.6609 0.5000
Bi 0.8391 0.3391 0.5000
Bi 0.3391 0.1609 0.5000
Sc 0.3563 0.8563 0.0000
Bi 0.6609 0.8391 0.5000
Cd 0.5000 0.5000 0.0000
Sc 0.8563 0.6437 0.0000
Sc 0.1437 0.3563 0.0000

Total DFT energy (no corrections) = -4.67 eV/atom